1.
Density functional theory data (PBE) for crystalline SmTh6Sc12 at its relaxed geometry.

Cell and atoms, written as POSCAR:
```
SmTh6Sc12
1.0
6.963 4.020 3.438
-6.963 4.020 3.438
0.000 -8.041 3.438
Sm Th Sc
1 6 12
Cartesian
0.000 0.000 0.000
-2.732 -1.577 5.690
0.000 -3.155 4.623
-2.732 1.577 4.623
2.732 -1.577 5.690
0.000 3.155 5.690
2.732 1.577 4.623
-1.646 -0.950 2.678
-2.723 -4.717 5.157
-5.447 0.000 5.157
1.646 -0.950 2.678
0.000 1.900 2.678
2.723 -4.717 5.157
-2.723 4.717 5.157
0.000 -1.900 7.635
-1.646 0.950 7.635
5.447 0.000 5.157
2.723 4.717 5.157
1.646 0.950 7.635
```

Computed properties:
V   30.4 A^3/atom
Calculated total energy   -115.03 eV per cell
Density   5.99 Mg/m³
Symmetry   R-3m
DFT formation energy   0.5360 eV/atom
Fermi-level density of states   32.18 states/eV/cell



2.
Density functional theory data (PBE) for crystalline SrTlMo2 at its relaxed geometry.

Cell and atoms, written as POSCAR:
```
SrTlMo2
1.0
2.927 0.000 0.000
0.000 2.927 0.000
0.000 0.000 9.974
Sr Tl Mo
1 1 2
Cartesian
0.000 0.000 0.000
0.000 0.000 4.987
1.464 1.464 2.752
1.464 1.464 7.222
```

Computed properties:
V   21.4 A^3/atom
Calculated total energy   -21.35 eV per cell
Density   9.40 Mg/m³
Symmetry   P4/mmm
DFT formation energy   1.0894 eV/atom
Relative energy among the computed polymorphs   705.6 meV per atom
Fermi-level density of states   3.25 states/eV/cell



3.
Density functional theory data (PBE) for crystalline MnHgI3 at its relaxed geometry.

Cell and atoms, written as POSCAR:
```
MnHgI3
1.0
7.308 0.000 0.000
-0.498 7.667 0.000
-1.674 -3.209 7.784
Mn Hg I
2 2 6
Cartesian
-0.493 -1.137 3.122
5.629 5.594 4.662
1.753 -0.155 6.680
3.383 4.612 1.104
0.273 4.838 1.701
0.937 0.834 3.904
0.333 4.773 6.050
4.803 -0.316 1.734
4.199 3.623 3.880
4.862 -0.381 6.083
```

Computed properties:
ΔE_f (raw)   -122 meV per atom
V   43.6 A^3/atom
Calculated total energy   -29.47 eV per cell
Density   4.84 Mg/m³
Symmetry   P-1
Relative energy among the computed polymorphs   224.0 meV per atom
Fermi-level density of states   0.00 states/eV/cell



4.
Density functional theory data (PBE) for crystalline LaEuDyZn at its relaxed geometry.

Cell and atoms, written as POSCAR:
```
LaEuDyZn
1.0
0.000 3.887 3.887
3.887 0.000 3.887
3.887 3.887 0.000
La Eu Dy Zn
1 1 1 1
Cartesian
0.000 0.000 0.000
1.944 1.944 1.944
3.887 3.887 3.887
5.831 5.831 5.831
```

Computed properties:
V   29.4 A^3/atom
Calculated total energy   -20.85 eV per cell
Density   7.33 Mg/m³
Symmetry   F-43m
DFT formation energy   0.0561 eV/atom
Fermi-level density of states   4.78 states/eV/cell



5.
Density functional theory data (PBE) for crystalline CsNiRuBr6 at its relaxed geometry.

Cell and atoms, written as POSCAR:
```
CsNiRuBr6
1.0
6.639 0.000 0.000
-3.320 5.750 0.000
0.000 0.000 8.274
Cs Ni Ru Br
1 1 1 6
Cartesian
0.000 0.000 0.000
3.320 1.917 4.137
0.000 3.833 4.137
-1.205 2.136 5.563
-2.073 3.638 2.711
1.205 2.136 2.711
-0.868 5.725 5.563
2.073 3.638 5.563
0.868 5.725 2.711
```

Computed properties:
ΔE_f (raw)   -605 meV per atom
V   35.1 A^3/atom
Calculated total energy   -31.39 eV per cell
Density   4.06 Mg/m³
Symmetry   P312
Fermi-level density of states   8.14 states/eV/cell



6.
Density functional theory data (PBE) for crystalline TmMgPt at its relaxed geometry.

Cell and atoms, written as POSCAR:
```
TmMgPt
1.0
7.261 0.000 0.000
0.000 4.095 0.000
-0.093 0.000 12.631
Tm Mg Pt
6 6 6
Cartesian
0.299 1.024 1.511
1.089 1.024 5.274
3.197 3.072 9.891
3.972 1.024 2.740
6.079 3.072 7.357
6.869 3.072 11.120
0.818 1.024 8.877
2.653 3.072 0.518
3.569 1.024 7.390
3.599 3.072 5.241
4.516 1.024 12.113
6.350 3.072 3.755
1.701 1.024 11.544
1.730 3.072 7.318
1.819 3.072 3.145
5.350 1.024 9.486
5.438 1.024 5.313
5.467 3.072 1.087
```

Computed properties:
V   20.9 A^3/atom
Calculated total energy   -90.30 eV per cell
Density   10.30 Mg/m³
Symmetry   P2_1/m
DFT formation energy   -0.9812 eV/atom
Fermi-level density of states   10.46 states/eV/cell